1.
Material: Na2CePCO7
Method: DFT, GGA-PBE
State: relaxed

Values from the calculation:
- total DFT energy (no corrections) (eV/atom) = -7.13

Lattice parameters (Å, degrees): 5.2453 7.1377 9.5372 90.00 90.18 90.00
Closest atoms and distances in Å follow each position.
Space group P2_1/m (No. 11)
Unique sites:
Na1 0.2483 0.0088 0.1989  4 O 2.30-2.52
Ce1 0.2862 0.2500 0.6038  6 O 2.37-2.62
P1 0.2095 0.7500 0.5930  4 O 1.55-1.58
C1 0.2590 0.2500 0.9067  3 O 1.26-1.32
O1 0.0568 0.2500 0.8233  1 C 1.32
O2 0.0772 0.2500 0.3669  1 P 1.55
O3 0.2184 0.7500 0.4279  1 P 1.58
O4 0.2400 0.2500 0.0388  1 C 1.26
O5 0.3518 0.5735 0.6464  1 P 1.55
O6 0.4793 0.2500 0.8413  1 C 1.31

---

2.
Material: Na2Ce2TiSiC2O12
Method: DFT, GGA-PBE
State: relaxed

Values from the calculation:
- total DFT energy (no corrections) (eV/atom) = -7.79

Lattice parameters (Å, degrees): 5.0790 7.5735 14.1186 79.01 79.75 70.96
Closest atoms and distances in Å follow each position.
Space group P-1 (No. 2)
Unique sites:
Na1 0.0000 0.0000 0.0000  4 O 2.24-2.33
Na2 0.0000 0.5000 0.5000  6 O 2.44-2.50
Na3 0.3204 0.3608 0.9761  5 O 2.36-2.50
Ce1 0.0868 0.1592 0.7189  6 O 2.38-2.60
Ce2 0.1909 0.2757 0.2868  6 O 2.33-2.52
Ti1 0.3004 0.8969 0.4984  6 O 1.95-2.06
Si1 0.4062 0.4618 0.6412  4 O 1.63-1.66
C1 0.2778 0.7123 0.8568  3 O 1.27-1.33
C2 0.4440 0.8962 0.1542  3 O 1.27-1.32
O1 0.0016 0.9489 0.4166  2 Ti 1.96-1.97
O2 0.0729 0.6933 0.9203  1 C 1.27
O3 0.1929 0.4375 0.7425  1 Si 1.65
O4 0.2224 0.6622 0.5817  1 Si 1.66
O5 0.2336 0.8096 0.7693  1 C 1.33
O6 0.2706 0.8331 0.1244  1 C 1.29
O7 0.2809 0.5416 0.3431  1 Si 1.63
O8 0.3166 0.1035 0.8921  1 C 1.27
O9 0.3726 0.9539 0.2406  1 C 1.32
O10 0.4054 0.2893 0.5849  1 Si 1.66
O11 0.4248 0.1025 0.4190  2 Ti 1.95-1.97
O12 0.4622 0.3633 0.1270  1 C 1.30

---

total DFT energy (no corrections) of number 2 (Na2Ce2TiSiC2O12)?
-7.79 eV/atom